## ThMgGa (PBE-GGA)

Data for crystalline ThMgGa at its relaxed geometry.

Results
calculated density	7.37	g cm⁻³
spin magnetization	0.000	μB/f.u.
E_form	-1.0	eV per formula unit
E_tot	-52.03	eV/cell
V	24.50	A^3/atom

a b c (Å): 11.046 4.472 7.404
angles (deg): 90.00 126.49 90.00
Space group C2/m (No. 12)
Symmetry-distinct sites (fractional):
Th1 0.066 0.000 0.322 [4 per cell]
Mg1 0.177 0.500 0.088 [4 per cell]
Ga1 0.149 0.500 0.676 [4 per cell]